V3GaO9 | Alexandria via LeMat-Bulk | GGA+U | optimized geometry; V = 16.0 A^3/atom; N(E_F) = 0.00 states/eV per cell; mass density = 2.9 g cm⁻³; total energy = -187.23 eV per cell
1.0
7.138 -3.534 0.000
7.138 3.534 0.000
-5.978 0.000 8.244
V Ga O
6 2 18
Direct
0.020 0.980 0.500
0.275 0.481 0.570
0.481 0.275 0.070
0.520 0.725 0.431
0.725 0.520 0.931
0.980 0.020 0.000
0.001 0.500 0.750
0.500 0.001 0.250
0.014 0.781 0.844
0.098 0.759 0.557
0.140 0.398 0.591
0.218 0.988 0.157
0.242 0.899 0.443
0.301 0.369 0.907
0.369 0.301 0.407
0.398 0.140 0.091
0.499 0.502 0.750
0.502 0.499 0.250
0.601 0.861 0.410
0.632 0.700 0.093
0.700 0.632 0.593
0.759 0.098 0.057
0.781 0.014 0.344
0.861 0.601 0.910
0.899 0.242 0.943
0.988 0.218 0.657